Entry 1:
DFT (GGA-PBE) results for an optimized crystal structure of BPbAu.

Output
calculated total energy: -4.191 eV per atom
DFT formation energy: 1.1 eV/f.u.
V: 62 Å³/f.u.
M_tot: 0.00 μB/cell

abc: 4.297 4.420 6.977
angles: 100.27 107.70 90.12
Fractional coordinates of all 6 atoms:
B (0.048, 0.152, 0.091)
B (0.952, 0.848, 0.909)
Pb (0.164, 0.711, 0.324)
Pb (0.836, 0.289, 0.676)
Au (0.419, 0.720, 0.842)
Au (0.581, 0.280, 0.158)

---

Entry 2:
DFT (GGA-PBE) results for an optimized crystal structure of BPbAu.

Output
calculated total energy: -4.289 eV per atom
DFT formation energy: 0.8 eV/f.u.
V: 62 Å³/f.u.
M_tot: 0.00 μB/cell

abc: 6.405 6.405 3.257
angles: 104.34 104.34 79.59
Fractional coordinates of all 6 atoms:
B (0.000, 0.000, 0.000)
B (0.000, 0.000, 0.499)
Pb (0.275, 0.275, 0.530)
Pb (0.641, 0.641, 0.384)
Au (0.111, 0.660, 0.138)
Au (0.660, 0.111, 0.138)

---

Entry 3:
DFT (GGA-PBE) results for an optimized crystal structure of BPb3Au.

Output
calculated total energy: -2.969 eV per atom
energy relative to the lowest polymorph listed for this composition: 603.9 meV per atom
DFT formation energy: 6.2 eV/f.u.
V: 171 Å³/f.u.
M_tot: 0.00 μB/cell

abc: 5.551 5.551 5.551
angles: 90.00 90.00 90.00
Fractional coordinates of all 5 atoms:
B (0.000, 0.000, 0.000)
Pb (0.000, 0.500, 0.500)
Pb (0.500, 0.000, 0.500)
Pb (0.500, 0.500, 0.000)
Au (0.500, 0.500, 0.500)

---

Entry 4:
DFT (GGA-PBE) results for an optimized crystal structure of BPbAu2.

Output
calculated total energy: -3.278 eV per atom
energy relative to the lowest polymorph listed for this composition: 563.7 meV per atom
DFT formation energy: 3.8 eV/f.u.
V: 79 Å³/f.u.
M_tot: 0.00 μB/cell

abc: 4.809 4.809 4.809
angles: 60.00 60.00 60.00
Fractional coordinates of all 4 atoms:
B (0.000, 0.000, 0.000)
Pb (0.500, 0.500, 0.500)
Au (0.250, 0.250, 0.250)
Au (0.750, 0.750, 0.750)

---

Entry 5:
DFT (GGA-PBE) results for an optimized crystal structure of BPbAu.

Output
calculated total energy: -4.236 eV per atom
DFT formation energy: 1.0 eV/f.u.
V: 62 Å³/f.u.
M_tot: 0.00 μB/cell

abc: 4.183 5.661 5.887
angles: 105.45 91.16 111.07
Fractional coordinates of all 6 atoms:
B (0.000, 0.000, 0.000)
B (0.015, 0.044, 0.736)
Pb (0.278, 0.571, 0.144)
Pb (0.737, 0.474, 0.604)
Au (0.007, 0.024, 0.369)
Au (0.511, 0.029, 0.880)

---

Entry 6:
DFT (GGA-PBE) results for an optimized crystal structure of BPbAu.

Output
calculated total energy: -4.312 eV per atom
DFT formation energy: 0.7 eV/f.u.
V: 59 Å³/f.u.
M_tot: 0.00 μB/cell

abc: 3.233 5.801 6.323
angles: 85.72 89.99 89.93
Fractional coordinates of all 6 atoms:
B (0.000, 0.000, 0.000)
B (0.499, 0.000, 0.000)
Pb (0.247, 0.545, 0.915)
Pb (0.747, 0.643, 0.413)
Au (0.249, 0.172, 0.297)
Au (0.749, 0.146, 0.671)

---

Entry 7:
DFT (GGA-PBE) results for an optimized crystal structure of BPbAu.

Output
calculated total energy: -4.309 eV per atom
DFT formation energy: 0.7 eV/f.u.
V: 60 Å³/f.u.
M_tot: 0.00 μB/cell

abc: 3.243 6.121 6.189
angles: 96.80 98.80 91.75
Fractional coordinates of all 6 atoms:
B (0.248, 0.496, 0.000)
B (0.752, 0.504, 0.000)
Pb (0.130, 0.234, 0.358)
Pb (0.870, 0.766, 0.642)
Au (0.438, 0.159, 0.842)
Au (0.562, 0.841, 0.158)

---

Entry 8:
DFT (GGA-PBE) results for an optimized crystal structure of BPbAu.

Output
calculated total energy: -3.980 eV per atom
DFT formation energy: 1.7 eV/f.u.
V: 64 Å³/f.u.
M_tot: 0.00 μB/cell

abc: 9.556 4.170 6.405
angles: 90.00 90.00 90.00
Fractional coordinates of all 12 atoms:
B (0.073, 0.250, 0.199)
B (0.427, 0.750, 0.699)
B (0.573, 0.250, 0.301)
B (0.927, 0.750, 0.801)
Pb (0.156, 0.750, 0.561)
Pb (0.344, 0.250, 0.061)
Pb (0.656, 0.750, 0.939)
Pb (0.844, 0.250, 0.439)
Au (0.056, 0.750, 0.118)
Au (0.444, 0.250, 0.618)
Au (0.556, 0.750, 0.382)
Au (0.944, 0.250, 0.882)